Crystalline Er4InAu5 at its relaxed geometry, computed with PBE.

a b c (Å): 3.5699 3.5699 17.6022
angles (deg): 90.00 90.00 90.00
Sites, in units of the cell vectors:
Er 0.0000 0.0000 0.1933
Er 0.0000 0.0000 0.3978
Er 0.0000 0.0000 0.6022
Er 0.0000 0.0000 0.8067
In 0.0000 0.0000 0.0000
Au 0.5000 0.5000 0.1036
Au 0.5000 0.5000 0.2980
Au 0.5000 0.5000 0.5000
Au 0.5000 0.5000 0.7020
Au 0.5000 0.5000 0.8964

- DFT formation energy: -0.78 eV/atom
- Space group: P4/mmm
- Size of the total moment: 0.00 μB/f.u.